# 1
DFT (PBE-GGA) results for crystalline NaCd3Pb2 at its relaxed geometry.

a b c (Å): 4.585 8.833 9.027
angles (deg): 65.92 75.29 74.96
Fractional positions:
Cd 0.418 0.475 0.689
Pb 0.589 0.057 0.765
Cd 0.923 0.696 0.459
Cd 0.077 0.304 0.541
Cd 0.252 0.880 0.617
Cd 0.582 0.525 0.311
Pb 0.757 0.629 0.857
Na 0.915 0.214 0.956
Na 0.085 0.786 0.044
Pb 0.243 0.371 0.143
Pb 0.411 0.943 0.235
Cd 0.748 0.120 0.383

Output
D(E_F): 0.374 states/eV/atom
Space group: No. 12
ΔE to the lowest computed polymorph: 0.000 eV per atom

# 2
DFT (PBE-GGA) results for crystalline Na2Cd3Pb2 at its relaxed geometry.

a b c (Å): 4.914 6.373 7.742
angles (deg): 113.14 90.00 112.68
Fractional positions:
Cd 0.500 0.000 0.000
Pb 0.150 0.300 0.227
Cd 0.591 0.182 0.425
Cd 0.409 0.818 0.575
Na 0.857 0.714 0.235
Na 0.143 0.286 0.765
Pb 0.850 0.700 0.773

Output
D(E_F): 0.392 states/eV/atom
Space group: No. 12
ΔE to the lowest computed polymorph: 0.000 eV per atom

# 3
DFT (PBE-GGA) results for crystalline Na2CdPb4 at its relaxed geometry.

a b c (Å): 6.490 6.496 6.490
angles (deg): 73.96 63.47 106.05
Fractional positions:
Pb 0.713 0.000 0.713
Pb 0.286 0.571 0.714
Na 0.750 0.500 0.750
Cd 0.000 0.000 0.000
Pb 0.714 0.429 0.286
Na 0.250 0.500 0.250
Pb 0.287 0.000 0.287

Output
D(E_F): 0.424 states/eV/atom
Space group: No. 69
ΔE to the lowest computed polymorph: 0.000 eV per atom

# 4
DFT (PBE-GGA) results for crystalline Na6Cd2Pb at its relaxed geometry.

a b c (Å): 5.899 9.761 9.761
angles (deg): 98.93 97.00 97.00
Fractional positions:
Na 0.292 0.216 0.064
Na 0.708 0.784 0.936
Na 0.470 0.636 0.253
Pb 0.250 0.885 0.115
Pb 0.750 0.115 0.885
Na 0.530 0.364 0.747
Na 0.174 0.582 0.907
Cd 0.867 0.608 0.624
Cd 0.367 0.624 0.608
Na 0.970 0.253 0.636
Na 0.208 0.936 0.784
Na 0.674 0.907 0.582
Na 0.326 0.093 0.418
Cd 0.633 0.376 0.392
Na 0.792 0.064 0.216
Na 0.826 0.418 0.093
Cd 0.133 0.392 0.376
Na 0.030 0.747 0.364

Output
D(E_F): 0.455 states/eV/atom
Space group: No. 15
ΔE to the lowest computed polymorph: 0.000 eV per atom

# 5
DFT (PBE-GGA) results for crystalline Na3Cd2Pb3 at its relaxed geometry.

a b c (Å): 3.924 6.438 19.564
angles (deg): 90.00 90.00 107.74
Fractional positions:
Na 0.041 0.081 0.880
Pb 0.379 0.757 0.250
Na 0.959 0.919 0.120
Cd 0.761 0.523 0.625
Na 0.959 0.919 0.380
Pb 0.635 0.270 0.479
Cd 0.239 0.477 0.125
Na 0.649 0.298 0.250
Na 0.041 0.081 0.620
Pb 0.365 0.730 0.979
Na 0.351 0.702 0.750
Pb 0.635 0.270 0.021
Cd 0.761 0.523 0.875
Cd 0.239 0.477 0.375
Pb 0.621 0.243 0.750
Pb 0.365 0.730 0.521

Output
D(E_F): 0.371 states/eV/atom
Space group: No. 63
ΔE to the lowest computed polymorph: 0.009 eV per atom

# 6
DFT (PBE-GGA) results for crystalline Na14CdPb at its relaxed geometry.

a b c (Å): 7.132 7.132 10.485
angles (deg): 90.00 90.00 88.29
Fractional positions:
Na 0.876 0.124 0.729
Na 0.127 0.873 0.000
Na 0.873 0.623 0.271
Na 0.623 0.377 0.000
Na 0.627 0.876 0.000
Na 0.377 0.127 0.271
Pb 0.625 0.375 0.500
Na 0.377 0.127 0.729
Na 0.373 0.627 0.728
Na 0.625 0.875 0.500
Na 0.873 0.623 0.729
Cd 0.125 0.875 0.500
Na 0.124 0.373 0.000
Na 0.373 0.627 0.272
Na 0.125 0.375 0.500
Na 0.876 0.124 0.271

Output
D(E_F): 0.507 states/eV/atom
Space group: No. 38

# 7
DFT (PBE-GGA) results for crystalline Na3CdPb4 at its relaxed geometry.

a b c (Å): 3.532 5.596 12.391
angles (deg): 95.04 81.64 90.22
Fractional positions:
Na 0.646 0.150 0.736
Na 0.500 0.500 0.000
Pb 0.115 0.659 0.793
Pb 0.766 0.251 0.461
Pb 0.885 0.341 0.207
Na 0.354 0.850 0.264
Pb 0.234 0.749 0.539
Cd 0.000 0.000 0.000

Output
D(E_F): 0.336 states/eV/atom
Space group: No. 2
ΔE to the lowest computed polymorph: 0.000 eV per atom

# 8
DFT (PBE-GGA) results for crystalline NaCd2Pb5 at its relaxed geometry.

a b c (Å): 6.699 6.698 6.699
angles (deg): 109.51 109.51 109.40
Fractional positions:
Pb 0.778 0.778 0.500
Pb 0.278 0.777 0.000
Pb 0.278 0.278 0.500
Na 0.778 0.778 0.000
Cd 0.777 0.278 0.500
Pb 0.778 0.278 0.000
Pb 0.278 0.277 0.000
Cd 0.277 0.778 0.500

Output
D(E_F): 0.311 states/eV/atom
Space group: No. 107

no.,total magnetization (μB/cell),calculated formation energy (eV per atom)
1,0.00,-0.034
2,0.00,-0.064
3,0.00,-0.006
4,0.00,-0.070
5,0.00,-0.105
6,0.00,-0.033
7,0.00,-0.073
8,0.00,-0.006